First-principles (PBE) data for crystalline CsSm2Cu3Te4S at its relaxed geometry, as listed in the Open Quantum Materials Database.

abc: 4.3290 15.6643 18.1891
angles: 90.00 90.00 90.00
Space group Cmcm (No. 63)
Unique sites:
Cs 0.0000 0.0729 0.2500 [4 per cell]
Sm 0.0000 0.1958 0.6004 [8 per cell]
Cu 0.0000 0.3315 0.2500 [4 per cell]
Cu 0.0000 0.4170 0.5213 [8 per cell]
Te 0.0000 0.1615 0.0690 [8 per cell]
Te 0.0000 0.4448 0.1205 [8 per cell]
S 0.0000 0.2294 0.7500 [4 per cell]

## Properties
E in eV per atom: -4.387
Volume in A^3/atom: 28.0

First-principles (PBE) data for crystalline Er4O5 at its relaxed geometry, as listed in the Open Quantum Materials Database.

abc: 3.8412 3.8412 9.4025
angles: 90.00 90.00 90.00
Space group P4/mmm (No. 123)
Unique sites:
Er 0.0000 0.0000 0.0000 [1 per cell]
Er 0.0000 0.0000 0.5000 [1 per cell]
Er 0.5000 0.5000 0.2420 [2 per cell]
O 0.0000 0.5000 0.1442 [4 per cell]
O 0.5000 0.5000 0.5000 [1 per cell]

## Properties
E in eV per atom: -7.695
Volume in A^3/atom: 15.4

- What is the volume in the first record?
  28.0 A^3/atom